CdSb2: relaxed, PBE.

Unit cell a=7.097 b=7.097 c=7.097 alpha=90.00 beta=90.00 gamma=90.00
Space group Pa-3 (No. 205)
Symmetry-distinct sites (fractional):
1 Cd 0.000 0.000 0.000
2 Sb 0.116 0.616 0.884

Calculated values
E_form (uncorrected) ... 0.17 eV per atom

=====

La4Dy6Tm: relaxed, PBE.

Unit cell a=6.766 b=6.766 c=16.913 alpha=90.00 beta=90.00 gamma=90.00
Space group I-42m (No. 121)
Symmetry-distinct sites (fractional):
1 La 0.190 0.190 0.177
2 Dy 0.000 0.500 0.000
3 Dy 0.174 0.174 0.383
4 Tm 0.000 0.000 0.000

Calculated values
Formation energy from the elements ... 289 meV per atom

=====

What did the second record say?
La4Dy6Tm: relaxed, PBE.

Unit cell a=6.766 b=6.766 c=16.913 alpha=90.00 beta=90.00 gamma=90.00
Space group I-42m (No. 121)
Symmetry-distinct sites (fractional):
1 La 0.190 0.190 0.177
2 Dy 0.000 0.500 0.000
3 Dy 0.174 0.174 0.383
4 Tm 0.000 0.000 0.000

Calculated values
Formation energy from the elements ... 289 meV per atom

=====

Copy entry 1 word for word.
CdSb2: relaxed, PBE.

Unit cell a=7.097 b=7.097 c=7.097 alpha=90.00 beta=90.00 gamma=90.00
Space group Pa-3 (No. 205)
Symmetry-distinct sites (fractional):
1 Cd 0.000 0.000 0.000
2 Sb 0.116 0.616 0.884

Calculated values
E_form (uncorrected) ... 0.17 eV per atom